No. 1
This record from Alexandria via LeMat-Bulk describes crystalline SiAgB2Rh at its relaxed geometry. The functional is GGA-PBE.

## Properties
Fermi-level density of states = 0.502 states/eV/atom
Energy relative to the elements, uncorrected = 1.62 eV/atom
Calculated volume = 82.63 Å³ per cell
Total DFT energy (no corrections) = -4.18 eV/atom

Cell lengths 3.908, 3.908, 5.409 Å; angles 90.00, 90.00, 90.00 degrees
Space group P4/mmm (No. 123)
Symmetry-distinct sites (fractional):
Si  0.000  0.000  0.000
Ag  0.500  0.500  0.500
B  0.000  0.500  0.500
Rh  0.500  0.500  0.000

No. 2
This record from Alexandria via LeMat-Bulk describes crystalline SiHgCl2 at its relaxed geometry. The functional is GGA-PBE.

## Properties
Energy relative to the elements, uncorrected = -0.38 eV/atom
Energy relative to the lowest polymorph listed for this composition = 34.2 meV per atom
Calculated volume = 143.00 Å³ per cell
Total DFT energy (no corrections) = -2.73 eV/atom

Cell lengths 3.859, 3.859, 9.603 Å; angles 90.00, 90.00, 90.00 degrees
Space group P4mm (No. 99)
Symmetry-distinct sites (fractional):
Si  0.000  0.000  0.000
Hg  0.500  0.500  0.544
Cl  0.000  0.000  0.216
Cl  0.500  0.500  0.974

> energy relative to the elements, uncorrected of number 2 (SiHgCl2)?

-0.38 eV/atom